This record from the Alexandria database describes a PBEsol-optimized structure of Cs3TeH. The functional is meta-GGA SCAN.

a = 8.254 Å, b = 8.163 Å, c = 11.654 Å
α = 90.00°, β = 90.00°, γ = 90.00°
Positions (direct):
Cs  0.779  0.220  0.977
Cs  0.279  0.280  0.477
Cs  0.279  0.280  0.023
Cs  0.221  0.780  0.477
Cs  0.221  0.780  0.023
Cs  0.721  0.720  0.523
Cs  0.721  0.720  0.977
Cs  0.779  0.220  0.523
Cs  0.957  0.504  0.250
Cs  0.457  0.996  0.750
Cs  0.043  0.496  0.750
Cs  0.543  0.004  0.250
H  0.500  0.000  0.000
H  0.000  0.500  0.500
H  0.000  0.500  0.000
H  0.500  0.000  0.500
Te  0.497  0.523  0.250
Te  0.997  0.977  0.750
Te  0.503  0.477  0.750
Te  0.003  0.023  0.250

DOS(E_F)   0.0 states/eV per cell
Total magnetization   0.000 μB/f.u.
DFT total energy   -31.66 eV per atom